(1)
This record from Alexandria via LeMat-Bulk describes an optimized crystal structure of SrCaPO2. The functional is PBE.

## Properties
Excess energy over the best structure of this formula in the dataset in kJ per mole of atoms: 0.0
Total energy in eV/cell: -23.778
Formation energy from raw total energies in eV/atom: -0.95

CIF file:
```
data_SrCaPO2
_chemical_formula_sum 'Sr1 Ca1 P1 O2'
_cell_length_a 4.490
_cell_length_b 4.490
_cell_length_c 5.398
_cell_angle_alpha 90.00
_cell_angle_beta 90.00
_cell_angle_gamma 90.00
_space_group_name_H-M_alt 'P 4/m m m'
_space_group_IT_number 123
_space_group_name_Hall '-P 4 2'
loop_
_atom_site_label
_atom_site_fract_x
_atom_site_fract_y
_atom_site_fract_z
Sr1 0.000 0.000 0.000
Ca1 0.500 0.500 0.500
P1 0.500 0.500 0.000
O1 0.000 0.500 0.500
```

(2)
This record from Alexandria via LeMat-Bulk describes an optimized crystal structure of SnSbClO2. The functional is PBE.

## Properties
Total energy in eV/cell: -52.196
Formation energy from raw total energies in eV/atom: -1.24

CIF file:
```
data_SnSbClO2
_chemical_formula_sum 'Sn2 Sb2 Cl2 O4'
_cell_length_a 7.272
_cell_length_b 4.098
_cell_length_c 7.735
_cell_angle_alpha 90.00
_cell_angle_beta 104.21
_cell_angle_gamma 90.00
_space_group_name_H-M_alt 'P 1 21/m 1'
_space_group_IT_number 11
loop_
_space_group_symop_operation_xyz
'x,y,z'
'-x,-y,-z'
'-x,y+1/2,-z'
'x,-y+1/2,z'
loop_
_atom_site_label
_atom_site_fract_x
_atom_site_fract_y
_atom_site_fract_z
Sn1 0.053 0.250 0.317
Sb1 0.431 0.750 0.654
Cl1 0.190 0.250 0.872
O1 0.152 0.750 0.518
O2 0.446 0.250 0.562
```

DOS(E_F) / states/eV/atom: 0.636, 0.000